Compound: ScHgB3
Source: Alexandria
Functional: PBE
Structure: relaxed

Calculated volume: 89 Å³/f.u.
Formation energy: 1.9880 eV per atom
N(E_F): 3.30 states/eV/cell

Structure (CIF):
```
data_ScHgB3
_chemical_formula_sum 'Sc1 Hg1 B3'
_space_group_name_H-M_alt 'P m -3 m'
_space_group_IT_number 221
_space_group_name_Hall '-P 4 2 3'
_cell_length_a 4.472
_cell_length_b 4.472
_cell_length_c 4.472
_cell_angle_alpha 90.00
_cell_angle_beta 90.00
_cell_angle_gamma 90.00
loop_
_atom_site_label
_atom_site_fract_x
_atom_site_fract_y
_atom_site_fract_z
Sc1 0.000 0.000 0.000
Hg1 0.500 0.500 0.500
B1 0.000 0.000 0.500
```